1.
# YIn2Cu | Alexandria via LeMat-Bulk | PBE | relaxed
data_YIn2Cu
_symmetry_space_group_name_H-M 'F -4 3 m'
_symmetry_Int_Tables_number 216
_symmetry_space_group_name_Hall 'F -4 2 3'
_cell_length_a 7.093
_cell_length_b 7.093
_cell_length_c 7.093
_cell_angle_alpha 90.00
_cell_angle_beta 90.00
_cell_angle_gamma 90.00
loop_
_atom_site_label
_atom_site_type_symbol
_atom_site_fract_x
_atom_site_fract_y
_atom_site_fract_z
Y1 Y 0.000 0.000 0.000
In1 In 0.000 0.000 0.500
In2 In 0.250 0.250 0.750
Cu1 Cu 0.250 0.250 0.250
# - formation energy (kcal/mol of atoms) = -3.9

---

2.
# ZrPbBr2 | Alexandria via LeMat-Bulk | PBE | relaxed
data_ZrPbBr2
_symmetry_space_group_name_H-M 'I m m m'
_symmetry_Int_Tables_number 71
_symmetry_space_group_name_Hall '-I 2 2'
_cell_length_a 3.327
_cell_length_b 5.683
_cell_length_c 14.045
_cell_angle_alpha 90.00
_cell_angle_beta 90.00
_cell_angle_gamma 90.00
loop_
_atom_site_label
_atom_site_type_symbol
_atom_site_fract_x
_atom_site_fract_y
_atom_site_fract_z
Zr1 Zr 0.000 0.000 0.000
Pb1 Pb 0.000 0.000 0.500
Br1 Br 0.000 0.500 0.343
# - energy above the lowest structure with this stoichiometry (meV per atom) = 147
# - formation energy (no corrections) (meV per atom) = -627